[1]
Below is a relaxed Ti2Fe2Co3 crystal, with properties calculated at the PBE level.

abc: 3.716 2.600 8.825
angles: 90.00 77.85 90.00
Last column: magnetic moment on the atom in μB.
Sites, in units of the cell vectors:
Ti 0.578 0.500 0.843  -0.03
Ti 0.422 0.500 0.157  -0.03
Fe 0.717 0.500 0.567  0.08
Fe 0.283 0.500 0.433  0.08
Co 0.843 0.000 0.315  0.12
Co 0.000 0.000 0.000  0.00
Co 0.157 0.000 0.685  0.12

Computed properties:
E_tot = -7.750 eV per atom


[2]
Below is a relaxed TiFe2Co3 crystal, with properties calculated at the PBE level.

abc: 6.453 6.453 5.800
angles: 90.00 90.00 143.17
Last column: magnetic moment on the atom in μB.
Sites, in units of the cell vectors:
Ti 0.339 0.661 0.000  -0.29
Ti 0.661 0.339 0.000  -0.29
Fe 0.000 0.000 0.000  2.72
Fe 0.000 0.000 0.500  2.87
Fe 0.331 0.669 0.500  2.87
Fe 0.669 0.331 0.500  2.87
Co 0.834 0.166 0.743  1.48
Co 0.500 0.500 0.262  1.51
Co 0.166 0.834 0.257  1.48
Co 0.834 0.166 0.257  1.48
Co 0.166 0.834 0.743  1.48
Co 0.500 0.500 0.738  1.51

Computed properties:
E_tot = -7.838 eV per atom


[3]
Below is a relaxed TiFe3Co4 crystal, with properties calculated at the PBE level.

abc: 2.923 4.018 8.101
angles: 90.00 90.00 90.00
Last column: magnetic moment on the atom in μB.
Sites, in units of the cell vectors:
Co 0.000 0.000 0.500  1.76
Co 0.000 0.500 0.745  1.57
Co 0.000 0.000 0.000  1.26
Co 0.000 0.500 0.255  1.57
Fe 0.500 0.000 0.255  2.77
Fe 0.500 0.500 0.500  2.87
Fe 0.500 0.000 0.745  2.77
Ti 0.500 0.500 0.000  -0.34

Computed properties:
E_tot = -7.838 eV per atom


[4]
Below is a relaxed Ti6Fe5Co crystal, with properties calculated at the PBE level.

abc: 4.190 5.895 6.618
angles: 90.00 71.54 90.00
Last column: magnetic moment on the atom in μB.
Sites, in units of the cell vectors:
Co 0.000 0.000 0.000  0.68
Fe 0.667 0.500 0.667  0.09
Fe 0.334 0.000 0.333  0.31
Fe 0.000 0.500 0.000  0.25
Fe 0.666 0.000 0.667  0.31
Fe 0.333 0.500 0.333  0.09
Ti 0.833 0.750 0.335  -0.10
Ti 0.833 0.250 0.335  -0.10
Ti 0.500 0.251 0.000  -0.09
Ti 0.500 0.749 0.000  -0.09
Ti 0.167 0.750 0.665  -0.10
Ti 0.167 0.250 0.665  -0.10

Computed properties:
E_tot = -8.471 eV per atom


[5]
Below is a relaxed Ti4FeCo5 crystal, with properties calculated at the PBE level.

abc: 2.960 2.960 14.731
angles: 90.00 90.00 90.00
Last column: magnetic moment on the atom in μB.
Sites, in units of the cell vectors:
Ti 0.000 0.000 0.194  -0.13
Ti 0.000 0.000 0.398  -0.02
Ti 0.000 0.000 0.602  -0.02
Ti 0.000 0.000 0.806  -0.13
Fe 0.000 0.000 0.000  2.89
Co 0.500 0.500 0.093  1.37
Co 0.500 0.500 0.296  0.92
Co 0.500 0.500 0.500  0.83
Co 0.500 0.500 0.704  0.92
Co 0.500 0.500 0.907  1.37

Computed properties:
E_tot = -7.866 eV per atom


[6]
Below is a relaxed Ti3FeCo2 crystal, with properties calculated at the PBE level.

abc: 4.205 4.205 10.293
angles: 90.00 90.00 120.00
Last column: magnetic moment on the atom in μB.
Sites, in units of the cell vectors:
Ti 0.333 0.667 0.417  -0.17
Ti 0.667 0.333 0.085  -0.13
Ti 0.000 0.000 0.748  -0.16
Ti 0.000 0.000 0.252  -0.16
Ti 0.333 0.667 0.915  -0.13
Ti 0.667 0.333 0.583  -0.17
Fe 0.333 0.667 0.667  0.64
Fe 0.667 0.333 0.333  0.64
Co 0.000 0.000 0.500  0.82
Co 0.333 0.667 0.167  0.84
Co 0.667 0.333 0.833  0.84
Co 0.000 0.000 0.000  0.93

Computed properties:
E above lowest polymorph = 0 meV/atom


[7]
Below is a relaxed TiFe2Co5 crystal, with properties calculated at the PBE level.

abc: 3.933 3.933 6.641
angles: 107.22 107.22 90.00
Last column: magnetic moment on the atom in μB.
Sites, in units of the cell vectors:
Ti 0.000 0.000 0.000  -0.62
Fe 0.253 0.253 0.505  2.72
Fe 0.747 0.747 0.495  2.72
Co 0.500 0.500 0.000  1.19
Co 0.633 0.133 0.267  1.35
Co 0.133 0.633 0.267  1.35
Co 0.367 0.867 0.733  1.35
Co 0.867 0.367 0.733  1.35

Computed properties:
E_tot = -7.641 eV per atom


[8]
Below is a relaxed TmTiFeCo crystal, with properties calculated at the PBE level.

abc: 4.411 4.411 4.411
angles: 60.00 60.00 60.00
Last column: magnetic moment on the atom in μB.
Sites, in units of the cell vectors:
Tm 0.750 0.750 0.750  -0.15
Co 0.500 0.500 0.500  0.49
Fe 0.000 0.000 0.000  0.40
Ti 0.250 0.250 0.250  -0.25

Computed properties:
E_tot = -7.118 eV per atom


[9]
Below is a relaxed TiVFeCo2 crystal, with properties calculated at the PBE level.

abc: 4.176 4.405 4.176
angles: 90.00 90.00 90.00
Last column: magnetic moment on the atom in μB.
Sites, in units of the cell vectors:
Ti 0.000 0.000 0.000  -0.04
Co 0.000 0.000 0.500  0.28
Co 0.500 0.000 0.000  0.36
Fe 0.500 0.500 0.500  3.13
V 0.000 0.500 0.000  -1.20

Computed properties:
E_tot = -6.716 eV per atom


[10]
Below is a relaxed TiZnFeCo crystal, with properties calculated at the PBE level.

abc: 3.138 3.954 3.986
angles: 90.00 90.00 90.00
Last column: magnetic moment on the atom in μB.
Sites, in units of the cell vectors:
Ti 0.500 0.000 0.500  -0.32
Zn 0.500 0.500 0.000  -0.03
Fe 0.000 0.500 0.500  1.19
Co 0.000 0.000 0.000  0.13

Computed properties:
E_tot = -6.387 eV per atom


[11]
Below is a relaxed Ti5Zn2Fe2Co crystal, with properties calculated at the PBE level.

abc: 2.918 10.112 10.112
angles: 90.00 90.00 90.00
Last column: magnetic moment on the atom in μB.
Sites, in units of the cell vectors:
Ti 0.500 0.193 0.072  -0.02
Ti 0.500 0.807 0.928  -0.02
Ti 0.500 0.072 0.807  -0.02
Ti 0.500 0.693 0.428  -0.02
Ti 0.500 0.928 0.193  -0.02
Ti 0.500 0.307 0.572  -0.02
Ti 0.500 0.572 0.693  -0.02
Ti 0.500 0.428 0.307  -0.02
Ti 0.500 0.500 0.000  0.00
Ti 0.500 0.000 0.500  0.00
Zn 0.000 0.672 0.172  0.00
Zn 0.000 0.328 0.828  0.00
Zn 0.000 0.172 0.328  0.00
Zn 0.000 0.828 0.672  0.00
Fe 0.000 0.133 0.633  0.00
Fe 0.000 0.867 0.367  0.00
Fe 0.000 0.633 0.867  0.00
Fe 0.000 0.367 0.133  0.00
Co 0.000 0.000 0.000  0.19
Co 0.000 0.500 0.500  0.19

Computed properties:
E_tot = -6.746 eV per atom


[12]
Below is a relaxed Ti2ZnFe2Co5 crystal, with properties calculated at the PBE level.

abc: 3.759 8.139 8.139
angles: 90.00 90.00 90.00
Last column: magnetic moment on the atom in μB.
Sites, in units of the cell vectors:
Ti 0.000 0.675 0.175  -0.61
Ti 0.000 0.325 0.825  -0.61
Ti 0.000 0.175 0.325  -0.61
Ti 0.000 0.825 0.675  -0.61
Zn 0.000 0.000 0.000  -0.03
Zn 0.000 0.500 0.500  -0.03
Fe 0.000 0.127 0.627  1.70
Fe 0.000 0.873 0.373  1.70
Fe 0.000 0.627 0.873  1.70
Fe 0.000 0.373 0.127  1.70
Co 0.500 0.203 0.064  1.30
Co 0.500 0.797 0.936  1.30
Co 0.500 0.064 0.797  1.30
Co 0.500 0.703 0.436  1.30
Co 0.500 0.936 0.203  1.30
Co 0.500 0.297 0.564  1.30
Co 0.500 0.564 0.703  1.30
Co 0.500 0.436 0.297  1.30
Co 0.500 0.500 0.000  0.97
Co 0.500 0.000 0.500  0.97

Computed properties:
E_tot = -7.028 eV per atom